Record 1
DFT (PBE-GGA) results for a geometry-optimized LaNiPb2 structure.

Computed properties:
crystal system: monoclinic
density of states at the Fermi level: 0.45 states/eV per atom
excess energy over the best structure of this formula in the dataset: 78 meV per atom
energy: -18.93 eV for the cell shown
calculated formation energy: -0.2020 eV/atom

Cell lengths 3.8312, 4.7225, 6.3485 Å; angles 68.13, 90.00, 90.00 degrees
Fractional coordinates of all 4 atoms:
Ni 0.5000 0.9781 0.6710
Pb 0.0000 0.8049 0.0149
Pb 0.5000 0.2038 0.2159
La 0.0000 0.5132 0.5982

=====

Record 2
DFT (PBE-GGA) results for a geometry-optimized La2NiPb structure.

Computed properties:
crystal system: monoclinic
density of states at the Fermi level: 0.58 states/eV per atom
energy: -20.79 eV for the cell shown
calculated formation energy: -0.3607 eV/atom

Cell lengths 4.4043, 4.4646, 6.2740 Å; angles 69.21, 90.00, 90.00 degrees
Fractional coordinates of all 4 atoms:
La 0.5000 0.2595 0.3533
La 0.0000 0.9695 0.9352
Ni 0.0000 0.7173 0.4447
Pb 0.5000 0.5536 0.7667

=====

Record 3
DFT (PBE-GGA) results for a geometry-optimized LaNiPb2 structure.

Computed properties:
crystal system: orthorhombic
density of states at the Fermi level: 0.71 states/eV per atom
excess energy over the best structure of this formula in the dataset: 0 meV per atom
energy: -19.24 eV for the cell shown
calculated formation energy: -0.2798 eV/atom

Cell lengths 4.4255, 5.0485, 5.0469 Å; angles 71.23, 90.00, 90.00 degrees
Fractional coordinates of all 4 atoms:
Pb 0.0000 0.5633 0.5633
Pb 0.0000 0.9367 0.9367
Ni 0.5000 0.7500 0.7500
La 0.5000 0.2500 0.2500